VASP calculation (GGA+U) on a relaxed PmTaMn2O6 crystal.

Geometry as CIF:
```
data_PmTaMn2O6
_chemical_formula_sum 'Pm1 Ta1 Mn2 O6'
_cell_length_a 5.551
_cell_length_b 5.550
_cell_length_c 5.884
_cell_angle_alpha 61.86
_cell_angle_beta 61.86
_cell_angle_gamma 59.98
_symmetry_space_group_name_H-M 'P 1'
_symmetry_Int_Tables_number 1
loop_
_symmetry_equiv_pos_as_xyz
'x,y,z'
loop_
_atom_site_label
_atom_site_type_symbol
_atom_site_fract_x
_atom_site_fract_y
_atom_site_fract_z
Pm1 Pm 0.805 0.805 0.585
Ta1 Ta 0.316 0.316 0.052
Mn1 Mn 0.527 0.527 0.420
Mn2 Mn 0.025 0.025 0.924
O1 O 0.578 0.229 0.241
O2 O 0.229 0.953 0.241
O3 O 0.953 0.577 0.241
O4 O 0.395 0.695 0.770
O5 O 0.695 0.139 0.770
O6 O 0.139 0.395 0.770
```

Calculated total energy, eV/atom: -8.6612
Crystal system: trigonal
DOS at the Fermi energy, states/eV/atom: 0.00